Record 1
! LiNdGa2Pd5, relaxed, DFT PBE-GGA; values from VASP
&SYSTEM
  ibrav = 0, nat = 9, ntyp = 4
/
ATOMIC_SPECIES
Nd 144.24 Nd.upf
Ga 69.72 Ga.upf
Pd 106.42 Pd.upf
Li 6.94 Li.upf
CELL_PARAMETERS angstrom
-3.400 1.259 -2.048
-0.573 -3.869 -1.427
-5.340 -2.020 7.623
ATOMIC_POSITIONS crystal
Nd 0.000 0.000 0.500
Ga 0.500 0.500 0.131
Pd 0.500 0.500 0.500
Ga 0.500 0.500 0.869
Pd 0.000 0.500 0.274
Li 0.000 0.000 0.000
Pd 0.500 0.000 0.274
Pd 0.000 0.500 0.726
Pd 0.500 0.000 0.726
! - energy (eV per atom) = -4.91
! - N(E_F) (states/eV per atom) = 0.29
! - ΔH_f (0 K) (meV/atom) = -613
! - SG = No. 123

---

Record 2
! PC2S2, relaxed, DFT PBE-GGA; values from VASP
&SYSTEM
  ibrav = 0, nat = 10, ntyp = 3
/
ATOMIC_SPECIES
C 12.01 C.upf
P 30.97 P.upf
S 32.06 S.upf
CELL_PARAMETERS angstrom
-6.926 0.399 1.252
-0.795 -6.620 -2.289
0.408 -0.933 2.556
ATOMIC_POSITIONS crystal
C 0.249 0.251 0.000
P 0.500 0.500 0.000
S 0.854 0.354 0.500
P 0.000 0.000 0.000
C 0.251 0.751 0.000
S 0.354 0.146 0.500
C 0.749 0.249 0.000
S 0.646 0.854 0.500
S 0.146 0.646 0.500
C 0.751 0.749 0.000
! - energy relative to the elements, uncorrected (eV per formula unit) = 6.971
! - energy (eV per atom) = -5.03
! - distance to the lowest polymorph of the same formula (meV/atom) = 0
! - N(E_F) (states/eV per atom) = 0.46
! - SG = No. 127

---

Record 3
! KLaY2, relaxed, DFT PBE-GGA; values from VASP
&SYSTEM
  ibrav = 0, nat = 4, ntyp = 3
/
ATOMIC_SPECIES
Y 88.91 Y.upf
La 138.91 La.upf
K 39.10 K.upf
CELL_PARAMETERS angstrom
0.000 4.233 4.233
4.233 0.000 4.233
4.233 4.233 0.000
ATOMIC_POSITIONS crystal
Y 0.750 0.750 0.750
La 0.500 0.500 0.500
Y 0.250 0.250 0.250
K 0.000 0.000 0.000
! - energy (eV per atom) = -4.22
! - distance to the lowest polymorph of the same formula (meV/atom) = 329
! - N(E_F) (states/eV per atom) = 1.80
! - ΔH_f (0 K) (meV/atom) = 516
! - SG = No. 225

---

Record 4
! TlIr2Cl, relaxed, DFT PBE-GGA; values from VASP
&SYSTEM
  ibrav = 0, nat = 4, ntyp = 3
/
ATOMIC_SPECIES
Ir 192.22 Ir.upf
Cl 35.45 Cl.upf
Tl 204.38 Tl.upf
CELL_PARAMETERS angstrom
-2.433 0.055 -3.528
-2.086 -2.693 -2.601
-5.408 1.330 5.966
ATOMIC_POSITIONS crystal
Ir 0.803 0.803 0.811
Cl 0.125 0.125 0.216
Tl 0.465 0.465 0.541
Ir 0.107 0.107 0.932
! - energy relative to the elements, uncorrected (eV per formula unit) = 1.352
! - energy (eV per atom) = -5.15
! - distance to the lowest polymorph of the same formula (meV/atom) = 33
! - N(E_F) (states/eV per atom) = 0.84
! - SG = No. 8

---

Record 5
! Lu3Sc, relaxed, DFT PBE-GGA; values from VASP
&SYSTEM
  ibrav = 0, nat = 4, ntyp = 2
/
ATOMIC_SPECIES
Lu 174.97 Lu.upf
Sc 44.96 Sc.upf
CELL_PARAMETERS angstrom
3.477 0.000 0.000
0.000 5.399 0.000
0.000 0.000 6.009
ATOMIC_POSITIONS crystal
Lu 0.500 0.500 0.836
Lu 0.000 0.500 0.331
Sc 0.000 0.000 0.000
Lu 0.500 0.000 0.499
! - energy (eV per atom) = -4.97
! - distance to the lowest polymorph of the same formula (meV/atom) = 0
! - N(E_F) (states/eV per atom) = 1.81
! - ΔH_f (0 K) (meV/atom) = 8
! - SG = No. 25

---

Record 6
! K6Rb5In, relaxed, DFT PBE-GGA; values from VASP
&SYSTEM
  ibrav = 0, nat = 12, ntyp = 3
/
ATOMIC_SPECIES
K 39.10 K.upf
Rb 85.47 Rb.upf
In 114.82 In.upf
CELL_PARAMETERS angstrom
6.689 1.589 2.015
3.054 11.078 6.585
-0.080 0.405 12.674
ATOMIC_POSITIONS crystal
K 0.204 0.660 0.272
K 0.796 0.340 0.728
K 0.679 0.820 0.000
K 0.204 0.932 0.728
Rb 0.500 0.799 0.402
Rb 0.000 0.345 0.310
Rb 0.500 0.201 0.598
K 0.796 0.068 0.272
In 0.000 0.000 0.000
Rb 0.500 0.500 0.000
K 0.321 0.180 0.000
Rb 0.000 0.655 0.690
! - energy (eV per atom) = -1.16
! - N(E_F) (states/eV per atom) = 0.86
! - ΔH_f (0 K) (meV/atom) = 22
! - SG = No. 71

---

Record 7
! Ca2GdMg, relaxed, DFT PBE-GGA; values from VASP
&SYSTEM
  ibrav = 0, nat = 4, ntyp = 3
/
ATOMIC_SPECIES
Mg 24.30 Mg.upf
Gd 157.25 Gd.upf
Ca 40.08 Ca.upf
CELL_PARAMETERS angstrom
5.757 0.000 0.000
2.879 4.986 0.000
2.879 1.662 4.701
ATOMIC_POSITIONS crystal
Mg 0.000 0.000 0.000
Gd 0.500 0.500 0.500
Ca 0.750 0.750 0.750
Ca 0.250 0.250 0.250
! - energy (eV per atom) = -4.81
! - distance to the lowest polymorph of the same formula (meV/atom) = 74
! - N(E_F) (states/eV per atom) = 1.72
! - ΔH_f (0 K) (meV/atom) = 110
! - SG = No. 225

---

Record 8
! Be3FeW, relaxed, DFT PBE-GGA; values from VASP
&SYSTEM
  ibrav = 0, nat = 5, ntyp = 3
/
ATOMIC_SPECIES
Be 9.01 Be.upf
Fe 55.84 Fe.upf
W 183.84 W.upf
CELL_PARAMETERS angstrom
-1.967 -0.786 3.130
1.476 -3.479 0.053
2.870 1.250 2.117
ATOMIC_POSITIONS crystal
Be 0.000 0.500 0.000
Fe 0.000 0.000 0.000
Be 0.500 0.000 0.000
Be 0.000 0.000 0.500
W 0.500 0.500 0.500
! - energy (eV per atom) = -5.80
! - distance to the lowest polymorph of the same formula (meV/atom) = 0
! - N(E_F) (states/eV per atom) = 0.59
! - ΔH_f (0 K) (meV/atom) = 719
! - SG = No. 221

---

Record 9
! VAsP, relaxed, DFT PBE-GGA; values from VASP
&SYSTEM
  ibrav = 0, nat = 3, ntyp = 3
/
ATOMIC_SPECIES
As 74.92 As.upf
V 50.94 V.upf
P 30.97 P.upf
CELL_PARAMETERS angstrom
-2.774 -1.033 0.909
2.530 -0.717 1.633
-0.694 4.581 3.087
ATOMIC_POSITIONS crystal
As 0.333 0.667 0.534
V 0.667 0.333 0.209
P 0.000 0.000 0.932
! - energy (eV per atom) = -6.63
! - distance to the lowest polymorph of the same formula (meV/atom) = 23
! - N(E_F) (states/eV per atom) = 0.32
! - ΔH_f (0 K) (meV/atom) = -239
! - SG = No. 156

---

Record 10
! AgMoRu2, relaxed, DFT PBE-GGA; values from VASP
&SYSTEM
  ibrav = 0, nat = 4, ntyp = 3
/
ATOMIC_SPECIES
Ag 107.87 Ag.upf
Ru 101.07 Ru.upf
Mo 95.94 Mo.upf
CELL_PARAMETERS angstrom
0.603 -2.571 3.544
-3.435 -2.116 1.806
-0.335 -4.392 -0.373
ATOMIC_POSITIONS crystal
Ag 0.500 0.500 0.500
Ru 0.750 0.750 0.750
Mo 0.000 0.000 0.000
Ru 0.250 0.250 0.250
! - energy (eV per atom) = -7.65
! - distance to the lowest polymorph of the same formula (meV/atom) = 214
! - N(E_F) (states/eV per atom) = 1.49
! - ΔH_f (0 K) (meV/atom) = 413
! - SG = No. 225

---

Record 11
! Ho6Er4Tl, relaxed, DFT PBE-GGA; values from VASP
&SYSTEM
  ibrav = 0, nat = 11, ntyp = 3
/
ATOMIC_SPECIES
Er 167.26 Er.upf
Ho 164.93 Ho.upf
Tl 204.38 Tl.upf
CELL_PARAMETERS angstrom
-1.923 1.866 -2.421
4.064 -5.030 -7.105
-10.308 -3.315 2.943
ATOMIC_POSITIONS crystal
Er 0.444 0.318 0.173
Ho 0.618 0.181 0.827
Er 0.443 0.855 0.173
Ho 0.022 0.508 0.017
Er 0.180 0.851 0.701
Ho 0.790 0.549 0.480
Tl 0.024 0.005 0.011
Ho 0.617 0.645 0.826
Er 0.214 0.317 0.633
Ho 0.790 0.932 0.480
Ho 0.858 0.172 0.345
! - energy (eV per atom) = -4.29
! - N(E_F) (states/eV per atom) = 1.52
! - ΔH_f (0 K) (meV/atom) = 81
! - SG = No. 8

---

Record 12
! CaYPd, relaxed, DFT PBE-GGA; values from VASP
&SYSTEM
  ibrav = 0, nat = 6, ntyp = 3
/
ATOMIC_SPECIES
Pd 106.42 Pd.upf
Ca 40.08 Ca.upf
Y 88.91 Y.upf
CELL_PARAMETERS angstrom
5.563 0.282 0.506
0.375 5.857 0.598
0.440 -1.297 5.430
ATOMIC_POSITIONS crystal
Pd 0.324 0.919 0.679
Ca 0.734 0.569 0.269
Y 0.208 0.005 0.207
Pd 0.680 0.088 0.324
Ca 0.271 0.439 0.735
Y 0.796 0.003 0.796
! - energy (eV per atom) = -5.08
! - distance to the lowest polymorph of the same formula (meV/atom) = 0
! - N(E_F) (states/eV per atom) = 0.88
! - ΔH_f (0 K) (meV/atom) = -528
! - SG = No. 2

---

Please write out number 4 again, unchanged.
! TlIr2Cl, relaxed, DFT PBE-GGA; values from VASP
&SYSTEM
  ibrav = 0, nat = 4, ntyp = 3
/
ATOMIC_SPECIES
Ir 192.22 Ir.upf
Cl 35.45 Cl.upf
Tl 204.38 Tl.upf
CELL_PARAMETERS angstrom
-2.433 0.055 -3.528
-2.086 -2.693 -2.601
-5.408 1.330 5.966
ATOMIC_POSITIONS crystal
Ir 0.803 0.803 0.811
Cl 0.125 0.125 0.216
Tl 0.465 0.465 0.541
Ir 0.107 0.107 0.932
! - energy relative to the elements, uncorrected (eV per formula unit) = 1.352
! - energy (eV per atom) = -5.15
! - distance to the lowest polymorph of the same formula (meV/atom) = 33
! - N(E_F) (states/eV per atom) = 0.84
! - SG = No. 8

---

- Which formula does entry 10 have?
  AgMoRu2

---

- Among the records above, which one has the lowest energy?
  AgMoRu2

---

Please write out number 9 again, unchanged.
! VAsP, relaxed, DFT PBE-GGA; values from VASP
&SYSTEM
  ibrav = 0, nat = 3, ntyp = 3
/
ATOMIC_SPECIES
As 74.92 As.upf
V 50.94 V.upf
P 30.97 P.upf
CELL_PARAMETERS angstrom
-2.774 -1.033 0.909
2.530 -0.717 1.633
-0.694 4.581 3.087
ATOMIC_POSITIONS crystal
As 0.333 0.667 0.534
V 0.667 0.333 0.209
P 0.000 0.000 0.932
! - energy (eV per atom) = -6.63
! - distance to the lowest polymorph of the same formula (meV/atom) = 23
! - N(E_F) (states/eV per atom) = 0.32
! - ΔH_f (0 K) (meV/atom) = -239
! - SG = No. 156